VASP calculation (GGA-PBE) on a geometry-optimized KScTeN2 structure.

## Properties
- Fermi-level density of states (states/eV/cell) = 2.89
- symmetry = P4/mmm (123)
- excess energy over the best structure of this formula in the dataset (eV per atom) = 0.000
- VASP energy (eV for the cell shown) = -25.5
- formation energy from raw total energies (eV/atom) = 0.3411

a b c (Å): 4.5507 4.5507 5.7344
angles (deg): 90.00 90.00 90.00
Site moments in Bohr magnetons follow the coordinates.
Element x y z (fractional)
Sc 0.0000 0.0000 0.0000  -0.05
K 0.5000 0.5000 0.5000  0.01
Te 0.0000 0.0000 0.5000  0.32
N 0.0000 0.5000 0.0000  1.09
N 0.5000 0.0000 0.0000  1.09